No. 1
This record from Alexandria via LeMat-Bulk describes a relaxed structure of PuZr3. The functional is PBE.

## Properties
ΔE_f in meV/atom: 70

Cell: 3.193 5.259 5.636 Å, 90.00 90.00 90.00°
Space group Pmm2 (No. 25)
Inequivalent atoms, fractional coordinates:
Pu (0.000, 0.000, 0.000) x1
Zr (0.000, 0.500, 0.317) x1
Zr (0.500, 0.000, 0.500) x1
Zr (0.500, 0.500, 0.809) x1



No. 2
This record from Alexandria via LeMat-Bulk describes a relaxed structure of Pu3Zr. The functional is PBE.

## Properties
ΔE_f in meV/atom: 392

Cell: 3.220 3.496 8.075 Å, 90.00 90.00 90.00°
Space group Pmm2 (No. 25)
Inequivalent atoms, fractional coordinates:
Pu (0.000, 0.000, 0.000) x1
Pu (0.000, 0.500, 0.305) x1
Pu (0.500, 0.500, 0.883) x1
Zr (0.500, 0.000, 0.584) x1



No. 3
This record from Alexandria via LeMat-Bulk describes a relaxed structure of PuZr7. The functional is PBE.

## Properties
ΔE_f in meV/atom: 52

Cell: 9.072 9.072 9.072 Å, 90.00 90.00 90.00°
Space group Fm-3m (No. 225)
Inequivalent atoms, fractional coordinates:
Pu (0.000, 0.000, 0.000) x4
Zr (0.000, 0.000, 0.500) x4
Zr (0.000, 0.250, 0.250) x24



No. 4
This record from Alexandria via LeMat-Bulk describes a relaxed structure of PuZr3. The functional is PBE.

## Properties
ΔE_f in meV/atom: 146

Cell: 7.190 7.190 7.190 Å, 90.00 90.00 90.00°
Space group Fm-3m (No. 225)
Inequivalent atoms, fractional coordinates:
Pu (0.000, 0.000, 0.000) x4
Zr (0.000, 0.000, 0.500) x4
Zr (0.250, 0.250, 0.250) x8



No. 5
This record from Alexandria via LeMat-Bulk describes a relaxed structure of Pu3Zr. The functional is PBE.

## Properties
ΔE_f in meV/atom: 210

Cell: 3.146 10.490 5.725 Å, 90.00 90.00 90.00°
Space group Imm2 (No. 44)
Inequivalent atoms, fractional coordinates:
Pu (0.000, 0.000, 0.000) x2
Pu (0.000, 0.232, 0.750) x4
Zr (0.000, 0.500, 0.992) x2



No. 6
This record from Alexandria via LeMat-Bulk describes a relaxed structure of Pu3Zr. The functional is PBE.

## Properties
ΔE_f in meV/atom: 169

Cell: 4.570 4.570 8.972 Å, 90.00 90.00 90.00°
Space group I4/mmm (No. 139)
Inequivalent atoms, fractional coordinates:
Pu (0.000, 0.000, 0.000) x2
Pu (0.000, 0.500, 0.250) x4
Zr (0.000, 0.000, 0.500) x2



No. 7
This record from Alexandria via LeMat-Bulk describes a relaxed structure of Pu2Zr. The functional is PBE.

## Properties
ΔE_f in meV/atom: 246

Cell: 3.250 3.250 11.209 Å, 90.00 90.00 90.00°
Space group I4/mmm (No. 139)
Inequivalent atoms, fractional coordinates:
Pu (0.000, 0.000, 0.208) x4
Zr (0.000, 0.000, 0.500) x2



No. 8
This record from Alexandria via LeMat-Bulk describes a relaxed structure of Pu2Zr. The functional is PBE.

## Properties
ΔE_f in meV/atom: 393

Cell: 7.892 7.892 7.892 Å, 90.00 90.00 90.00°
Space group Fd-3m (No. 227, origin choice 2)
Inequivalent atoms, fractional coordinates:
Pu (0.000, 0.000, 0.000) x16
Zr (0.125, 0.125, 0.625) x8